No. 1
The following is a DFT calculation (GGA-PBE) of a geometry-optimized Ba2UPdSe5 structure.

V = 29.40 Å³/atom
DOS at the Fermi energy = 0.662 states/eV per atom
total moment = 1.94 μB per cell
space group = Cmc2_1 (36)
E_form (uncorrected) = -1.3646 eV per atom

Cell: 4.236 9.581 13.370 Å, 90.00 90.00 102.77°
Each line ends with the local moment (μB).
Element x y z (fractional)
Ba: 0.886 0.772 0.837  0.00
Ba: 0.122 0.244 0.699  0.00
Ba: 0.114 0.228 0.337  0.00
Ba: 0.878 0.756 0.199  0.00
U: 0.808 0.615 0.518  1.33
U: 0.192 0.385 0.018  1.33
Pd: 0.569 0.138 0.928  -0.09
Pd: 0.431 0.862 0.428  -0.09
Se: 0.339 0.679 0.017  -0.04
Se: 0.703 0.405 0.877  -0.05
Se: 0.502 0.003 0.763  -0.02
Se: 0.304 0.608 0.660  -0.05
Se: 0.955 0.909 0.524  -0.06
Se: 0.661 0.321 0.517  -0.04
Se: 0.297 0.595 0.377  -0.05
Se: 0.498 0.997 0.263  -0.02
Se: 0.696 0.392 0.160  -0.05
Se: 0.045 0.091 0.024  -0.06

=====

No. 2
The following is a DFT calculation (GGA-PBE) of a geometry-optimized BaU2Pd2Se6 structure.

V = 28.25 Å³/atom
DOS at the Fermi energy = 0.991 states/eV per atom
total moment = 1.97 μB per cell
space group = P-1 (2)
E_form (uncorrected) = -1.0153 eV per atom

Cell: 7.312 7.701 7.805 Å, 120.07 86.91 61.99°
Each line ends with the local moment (μB).
Element x y z (fractional)
Ba: 0.500 0.000 0.500  0.00
U: 0.830 0.338 0.837  1.38
U: 0.170 0.662 0.163  1.38
Pd: 0.389 0.568 0.704  -0.15
Pd: 0.611 0.432 0.296  -0.15
Se: 0.423 0.797 0.053  -0.07
Se: 0.948 0.453 0.194  -0.07
Se: 0.195 0.827 0.569  -0.07
Se: 0.052 0.547 0.806  -0.07
Se: 0.805 0.173 0.431  -0.07
Se: 0.577 0.203 0.947  -0.07

=====

No. 3
The following is a DFT calculation (GGA-PBE) of a geometry-optimized BaU2PdSe4 structure.

V = 26.61 Å³/atom
DOS at the Fermi energy = 1.738 states/eV per atom
total moment = 11.69 μB per cell
space group = Cmcm (63)
E_form (uncorrected) = -1.2097 eV per atom

Cell: 4.214 7.302 14.453 Å, 90.00 90.00 106.77°
Each line ends with the local moment (μB).
Element x y z (fractional)
Ba: 0.116 0.233 0.750  0.01
Ba: 0.884 0.767 0.250  0.01
U: 0.369 0.739 0.566  2.69
U: 0.631 0.261 0.066  2.69
U: 0.631 0.261 0.434  2.69
U: 0.369 0.739 0.934  2.69
Pd: 0.842 0.684 0.750  -0.03
Pd: 0.158 0.316 0.250  -0.03
Se: 0.270 0.539 0.109  -0.04
Se: 0.730 0.461 0.609  -0.04
Se: 0.730 0.461 0.891  -0.04
Se: 0.270 0.539 0.391  -0.04
Se: 0.000 0.000 0.500  -0.07
Se: 0.000 0.000 0.000  -0.07
Se: 0.446 0.892 0.750  -0.04
Se: 0.554 0.108 0.250  -0.04

=====

No. 4
The following is a DFT calculation (GGA-PBE) of a geometry-optimized Ba3UPd2Se6 structure.

V = 36.38 Å³/atom
DOS at the Fermi energy = 0.799 states/eV per atom
total moment = 0.37 μB per cell
space group = P-3m1 (164)
E_form (uncorrected) = -1.1401 eV per atom

Cell: 7.826 7.826 8.230 Å, 90.00 90.00 120.00°
Each line ends with the local moment (μB).
Element x y z (fractional)
Ba: 0.333 0.667 0.608  0.00
Ba: 0.667 0.333 0.392  0.00
Ba: 0.000 0.000 0.000  0.00
U: 0.000 0.000 0.500  0.67
Pd: 0.667 0.333 0.780  -0.06
Pd: 0.333 0.667 0.220  -0.06
Se: 0.682 0.841 0.298  -0.02
Se: 0.159 0.318 0.298  -0.02
Se: 0.159 0.841 0.298  -0.02
Se: 0.841 0.682 0.702  -0.02
Se: 0.318 0.159 0.702  -0.02
Se: 0.841 0.159 0.702  -0.02

=====

No. 5
The following is a DFT calculation (GGA-PBE) of a geometry-optimized BaY2PdSe4 structure.

V = 26.52 Å³/atom
total moment = 0.00 μB per cell
space group = Cmcm (63)
E_form (uncorrected) = -1.7085 eV per atom

Cell: 4.193 7.317 14.436 Å, 90.00 90.00 106.65°
Element x y z (fractional)
Ba: 0.120 0.239 0.750
Ba: 0.880 0.761 0.250
Y: 0.368 0.735 0.572
Y: 0.632 0.265 0.072
Y: 0.632 0.265 0.428
Y: 0.368 0.735 0.928
Pd: 0.844 0.689 0.750
Pd: 0.156 0.311 0.250
Se: 0.269 0.539 0.108
Se: 0.731 0.461 0.608
Se: 0.731 0.461 0.892
Se: 0.269 0.539 0.392
Se: 0.000 0.000 0.500
Se: 0.000 0.000 0.000
Se: 0.451 0.902 0.750
Se: 0.549 0.098 0.250

=====

No. 6
The following is a DFT calculation (GGA-PBE) of a geometry-optimized BaYPdSe3 structure.

V = 28.18 Å³/atom
DOS at the Fermi energy = 0.388 states/eV per atom
total moment = 0.00 μB per cell
space group = P2_1/m (11)
E_form (uncorrected) = -1.5338 eV per atom

Cell: 4.253 8.719 9.472 Å, 105.68 90.00 90.00°
Element x y z (fractional)
Ba: 0.250 0.193 0.240
Ba: 0.750 0.807 0.760
Y: 0.250 0.680 0.158
Y: 0.750 0.320 0.842
Pd: 0.250 0.093 0.577
Pd: 0.750 0.907 0.423
Se: 0.750 0.892 0.127
Se: 0.250 0.108 0.873
Se: 0.250 0.779 0.474
Se: 0.750 0.221 0.526
Se: 0.750 0.451 0.161
Se: 0.250 0.549 0.839

=====

No. 7
The following is a DFT calculation (GGA-PBE) of a geometry-optimized Ba2ZnPdSe structure.

V = 34.52 Å³/atom
DOS at the Fermi energy = 0.385 states/eV per atom
total moment = 0.00 μB per cell
space group = P4/mmm (123)
E_form (uncorrected) = -0.7943 eV per atom

Cell: 5.988 5.988 4.813 Å, 90.00 90.00 90.00°
Element x y z (fractional)
Zn: 0.000 0.000 0.500
Se: 0.500 0.500 0.500
Ba: 0.000 0.500 0.000
Ba: 0.500 0.000 0.000
Pd: 0.000 0.000 0.000

=====

No. 8
The following is a DFT calculation (GGA-PBE) of a geometry-optimized Ba2SiPd structure.

V = 37.97 Å³/atom
DOS at the Fermi energy = 0.405 states/eV per atom
total moment = 0.00 μB per cell
space group = Cm (8)
E_form (uncorrected) = -0.5453 eV per atom

Cell: 4.438 4.438 9.240 Å, 76.62 76.62 59.98°
Element x y z (fractional)
Ba: 0.047 0.047 0.867
Ba: 0.203 0.203 0.383
Si: 0.792 0.792 0.625
Pd: 0.458 0.458 0.625